--- P ---
A plane-wave DFT calculation with PBE was carried out for a relaxed structure of InWCl2.

POSCAR file:
```
InWCl2
1.0
3.1079 0.0000 0.0000
0.0000 3.1079 0.0000
0.0000 0.0000 8.6373
In W Cl
1 1 2
Cartesian
0.0000 0.0000 0.0000
1.5539 1.5539 1.9739
0.0000 0.0000 3.4841
1.5539 1.5539 6.7633
```

Theoretical density (g/cm3): 7.36
Space group: P4mm, No. 99

--- Q ---
A plane-wave DFT calculation with PBE was carried out for a relaxed structure of InWCl2.

POSCAR file:
```
InWCl2
1.0
3.0225 0.0000 0.0000
0.0000 4.6440 0.0000
0.0000 0.0000 5.6251
In W Cl
1 1 2
Cartesian
0.0000 0.0000 0.0000
1.5112 0.0000 2.8126
0.0000 2.3220 2.8126
1.5112 2.3220 0.0000
```

Theoretical density (g/cm3): 7.77
Space group: Pmmm, No. 47

--- R ---
A plane-wave DFT calculation with PBE was carried out for a relaxed structure of InWCl2.

POSCAR file:
```
InWCl2
1.0
0.0000 3.5608 3.5608
3.5608 0.0000 3.5608
3.5608 3.5608 0.0000
In W Cl
1 1 2
Cartesian
0.0000 0.0000 0.0000
1.7804 1.7804 1.7804
3.5608 3.5608 3.5608
5.3412 5.3412 5.3412
```

Theoretical density (g/cm3): 6.80
Space group: F-43m, No. 216

Which is the most stable structure? P is the most stable.

--- P ---
A plane-wave DFT calculation with PBE was carried out for a relaxed structure of InWCl2.

POSCAR file:
```
InWCl2
1.0
4.4308 0.0000 0.0000
0.0000 4.4308 0.0000
0.0000 0.0000 4.3486
In W Cl
1 1 2
Cartesian
0.0000 0.0000 0.0000
2.2154 2.2154 0.0000
0.0000 2.2154 2.1743
2.2154 0.0000 2.1743
```

Theoretical density (g/cm3): 7.19
Space group: P4/mmm, No. 123

--- Q ---
A plane-wave DFT calculation with PBE was carried out for a relaxed structure of InWCl2.

POSCAR file:
```
InWCl2
1.0
-2.1799 2.1799 4.3513
2.1799 -2.1799 4.3513
2.1799 2.1799 -4.3513
In W Cl
1 1 2
Cartesian
0.0000 0.0000 0.0000
0.0000 0.0000 4.3513
2.1799 0.0000 2.1756
0.0000 2.1799 2.1756
```

Theoretical density (g/cm3): 7.42
Space group: I4/mmm, No. 139

Which is the most stable structure? P is the most stable.